VASP calculation (PBE-GGA) on a relaxed structure of TaCoS2Cl.

The space group is P4/mmm (No. 123) and the conventional cell measures 4.400, 4.400 and 4.265 Å, with angles of 90.00, 90.00 and 90.00 degrees. Symmetry generates all atoms from Ta at (0.000, 0.000, 0.000), Co at (0.500, 0.500, 0.500), S at (0.000, 0.500, 0.500) and Cl at (0.500, 0.500, 0.000).

Its raw formation energy is 534 meV per atom.



VASP calculation (PBE-GGA) on a relaxed structure of BaCrCo2.

The space group is Fm-3m (No. 225) and the conventional cell measures 6.623, 6.623 and 6.623 Å, with angles of 90.00, 90.00 and 90.00 degrees. Symmetry generates all atoms from Ba at (0.000, 0.000, 0.000), Cr at (0.000, 0.000, 0.500) and Co at (0.250, 0.250, 0.250).

Its energy of formation from the pure elements is 1.08 eV/atom.



VASP calculation (PBE-GGA) on a relaxed structure of DyHf2V.

The space group is P4/mmm (No. 123) and the conventional cell measures 3.379, 3.379 and 7.729 Å, with angles of 90.00, 90.00 and 90.00 degrees. Symmetry generates all atoms from Dy at (0.000, 0.000, 0.000), Hf at (0.500, 0.500, 0.304) and V at (0.000, 0.000, 0.500).

Its energy of formation from the pure elements is 0.19 eV/atom.



VASP calculation (PBE-GGA) on a relaxed structure of TcIrOs2.

The space group is Pmmm (No. 47) and the conventional cell measures 2.725, 3.881 and 5.453 Å, with angles of 90.00, 90.00 and 90.00 degrees. Symmetry generates all atoms from Tc at (0.000, 0.000, 0.000), Ir at (0.000, 0.000, 0.500) and Os at (0.500, 0.500, 0.246).

Its energy of formation from the pure elements is 0.03 eV/atom.



So what do the calculations give for size of the total moment? Going down the list: 0.00 21.46 0.00 0.00 μB/cell.